<1>
The following is a DFT calculation (PBE) of a geometry-optimized ScFe3N structure.

Values from the calculation:
spin magnetization	0.00	μB per formula unit
D(E_F)	4.43	states/eV per cell

```
5
Lattice="3.803 0.000 0.000 0.000 3.803 0.000 0.000 0.000 3.803" Properties=species:S:1:pos:R:3 pbc="T T T"
Sc 0.000 0.000 0.000
Fe 0.000 1.901 1.901
Fe 1.901 0.000 1.901
Fe 1.901 1.901 0.000
N 1.901 1.901 1.901
```

***

<2>
The following is a DFT calculation (PBE) of a geometry-optimized ScFe3N structure.

Values from the calculation:
spin magnetization	7.23	μB per formula unit
D(E_F)	6.65	states/eV per cell

```
5
Lattice="4.417 0.000 0.000 0.000 4.417 0.000 0.000 0.000 4.417" Properties=species:S:1:pos:R:3 pbc="T T T"
Sc 0.000 0.000 0.000
Fe 0.000 0.000 2.208
Fe 0.000 2.208 0.000
Fe 2.208 0.000 0.000
N 2.208 2.208 2.208
```

***

Stability ranking, top and bottom: <1> is the most stable and <2> is the least stable.

***

<1>
The following is a DFT calculation (PBE) of a geometry-optimized ScFeSe2N structure.

Values from the calculation:
spin magnetization	3.89	μB per formula unit
D(E_F)	7.99	states/eV per cell

```
5
Lattice="5.201 0.000 0.000 0.000 5.201 0.000 0.000 0.000 3.966" Properties=species:S:1:pos:R:3 pbc="T T T"
Sc 0.000 0.000 0.000
Fe 2.600 2.600 1.983
Se 0.000 2.600 0.000
Se 2.600 0.000 0.000
N 0.000 0.000 1.983
```

***

<2>
The following is a DFT calculation (PBE) of a geometry-optimized ScFeSe2N structure.

Values from the calculation:
spin magnetization	0.00	μB per formula unit
D(E_F)	3.35	states/eV per cell

```
5
Lattice="4.889 0.000 0.000 0.000 4.889 0.000 0.000 0.000 3.454" Properties=species:S:1:pos:R:3 pbc="T T T"
Sc 0.000 0.000 0.000
Fe 2.445 2.445 1.727
Se 0.000 2.445 1.727
Se 2.445 0.000 1.727
N 2.445 2.445 0.000
```

***

Stability ranking, top and bottom: <2> is the most stable and <1> is the least stable.

***

<1>
The following is a DFT calculation (PBE) of a geometry-optimized FeSeN structure.

Values from the calculation:
spin magnetization	1.27	μB per formula unit
D(E_F)	4.12	states/eV per cell

```
6
Lattice="2.801 0.000 0.000 1.399 3.494 0.000 0.965 0.610 8.916" Properties=species:S:1:pos:R:3 pbc="T T T"
Fe 1.181 0.608 3.271
Fe 3.983 3.496 5.645
Se 1.182 1.514 7.097
Se 3.982 2.590 1.818
N 2.582 2.690 4.613
N 2.582 1.414 4.303
```

***

<2>
The following is a DFT calculation (PBE) of a geometry-optimized FeSeN structure.

Values from the calculation:
spin magnetization	2.02	μB per formula unit
D(E_F)	3.79	states/eV per cell

```
6
Lattice="3.596 0.000 0.000 0.000 3.596 0.000 0.000 0.000 6.851" Properties=species:S:1:pos:R:3 pbc="T T T"
Fe 0.899 2.697 0.000
Fe 2.697 0.899 0.000
Se 0.899 0.899 1.575
Se 2.697 2.697 5.276
N 0.899 0.899 3.327
N 2.697 2.697 3.524
```

***

Stability ranking, top and bottom: <1> is the most stable and <2> is the least stable.

***

<1>
The following is a DFT calculation (PBE) of a geometry-optimized Fe2SeN structure.

Values from the calculation:
spin magnetization	0.00	μB per formula unit
D(E_F)	3.72	states/eV per cell

```
8
Lattice="-2.327 2.327 4.797 2.327 -2.327 4.797 2.327 2.327 -4.797" Properties=species:S:1:pos:R:3 pbc="T T T"
Fe 3.491 0.735 -1.199
Fe 0.735 1.164 1.199
Fe -1.164 1.592 3.598
Fe 1.592 1.164 5.997
Se 2.327 0.000 2.399
Se 0.000 0.000 4.797
N 0.000 0.000 0.000
N 0.000 2.327 2.399
```

***

<2>
The following is a DFT calculation (PBE) of a geometry-optimized Fe2SeN structure.

Values from the calculation:
spin magnetization	4.22	μB per formula unit
D(E_F)	4.47	states/eV per cell

```
4
Lattice="0.000 2.825 2.825 2.825 0.000 2.825 2.825 2.825 0.000" Properties=species:S:1:pos:R:3 pbc="T T T"
Fe 1.412 1.412 1.412
Fe 4.237 4.237 4.237
Se 0.000 0.000 0.000
N 2.825 2.825 2.825
```

***

Stability ranking, top and bottom: <1> is the most stable and <2> is the least stable.

***

<1>
The following is a DFT calculation (PBE) of a geometry-optimized FeSiSe2N structure.

Values from the calculation:
spin magnetization	0.30	μB per formula unit
D(E_F)	5.11	states/eV per cell

```
5
Lattice="4.917 0.000 0.000 0.000 4.917 0.000 0.000 0.000 3.396" Properties=species:S:1:pos:R:3 pbc="T T T"
Fe 0.000 0.000 0.000
Si 2.459 2.459 1.698
Se 0.000 2.459 0.000
Se 2.459 0.000 0.000
N 0.000 0.000 1.698
```

***

<2>
The following is a DFT calculation (PBE) of a geometry-optimized FeSiSe2N structure.

Values from the calculation:
spin magnetization	0.01	μB per formula unit
D(E_F)	9.38	states/eV per cell

```
5
Lattice="4.994 0.000 0.000 0.000 4.994 0.000 0.000 0.000 3.226" Properties=species:S:1:pos:R:3 pbc="T T T"
Fe 0.000 0.000 0.000
Si 2.497 2.497 1.613
Se 0.000 2.497 1.613
Se 2.497 0.000 1.613
N 2.497 2.497 0.000
```

***

Stability ranking, top and bottom: <1> is the most stable and <2> is the least stable.

***

<1>
The following is a DFT calculation (PBE) of a geometry-optimized SrFeSeN2 structure.

Values from the calculation:
spin magnetization	0.41	μB per formula unit
D(E_F)	2.45	states/eV per cell

```
5
Lattice="3.908 0.000 0.000 0.000 3.908 0.000 0.000 0.000 5.106" Properties=species:S:1:pos:R:3 pbc="T T T"
Sr 0.000 0.000 0.000
Fe 1.954 1.954 2.553
Se 1.954 1.954 0.000
N 0.000 1.954 2.553
N 1.954 0.000 2.553
```

***

<2>
The following is a DFT calculation (PBE) of a geometry-optimized SrFeSeN2 structure.

Values from the calculation:
spin magnetization	8.10	μB per formula unit
D(E_F)	3.84	states/eV per cell

```
5
Lattice="4.693 0.000 0.000 0.000 4.693 0.000 0.000 0.000 6.235" Properties=species:S:1:pos:R:3 pbc="T T T"
Sr 0.000 0.000 0.000
Fe 2.347 2.347 3.118
Se 0.000 0.000 3.118
N 0.000 2.347 0.000
N 2.347 0.000 0.000
```

***

Stability ranking, top and bottom: <1> is the most stable and <2> is the least stable.

***

<1>
The following is a DFT calculation (PBE) of a geometry-optimized TaFeSe2N structure.

Values from the calculation:
spin magnetization	1.40	μB per formula unit
D(E_F)	3.45	states/eV per cell

```
5
Lattice="4.841 0.000 0.000 0.000 4.841 0.000 0.000 0.000 3.386" Properties=species:S:1:pos:R:3 pbc="T T T"
Ta 0.000 0.000 0.000
Fe 2.421 2.421 1.693
Se 0.000 2.421 1.693
Se 2.421 0.000 1.693
N 2.421 2.421 0.000
```

***

<2>
The following is a DFT calculation (PBE) of a geometry-optimized TaFeSe2N structure.

Values from the calculation:
spin magnetization	3.91	μB per formula unit
D(E_F)	6.28	states/eV per cell

```
5
Lattice="5.159 0.000 0.000 0.000 5.159 0.000 0.000 0.000 3.861" Properties=species:S:1:pos:R:3 pbc="T T T"
Ta 0.000 0.000 0.000
Fe 2.579 2.579 1.930
Se 0.000 2.579 0.000
Se 2.579 0.000 0.000
N 0.000 0.000 1.930
```

***

Stability ranking, top and bottom: <2> is the most stable and <1> is the least stable.

***

<1>
The following is a DFT calculation (PBE) of a geometry-optimized FeTeSe2N structure.

Values from the calculation:
spin magnetization	0.00	μB per formula unit
D(E_F)	4.54	states/eV per cell

```
5
Lattice="4.998 0.000 0.000 0.000 4.998 0.000 0.000 0.000 3.495" Properties=species:S:1:pos:R:3 pbc="T T T"
Fe 0.000 0.000 0.000
Te 2.499 2.499 1.747
Se 0.000 2.499 0.000
Se 2.499 0.000 0.000
N 0.000 0.000 1.747
```

***

<2>
The following is a DFT calculation (PBE) of a geometry-optimized FeTeSe2N structure.

Values from the calculation:
spin magnetization	3.82	μB per formula unit
D(E_F)	7.37	states/eV per cell

```
5
Lattice="5.378 0.000 0.000 0.000 5.378 0.000 0.000 0.000 3.901" Properties=species:S:1:pos:R:3 pbc="T T T"
Fe 0.000 0.000 0.000
Te 2.689 2.689 1.950
Se 0.000 2.689 1.950
Se 2.689 0.000 1.950
N 2.689 2.689 0.000
```

***

Stability ranking, top and bottom: <1> is the most stable and <2> is the least stable.

***

<1>
The following is a DFT calculation (PBE) of a geometry-optimized TiFeSe2N structure.

Values from the calculation:
spin magnetization	0.99	μB per formula unit
D(E_F)	4.61	states/eV per cell

```
5
Lattice="4.853 0.000 0.000 0.000 4.853 0.000 0.000 0.000 3.412" Properties=species:S:1:pos:R:3 pbc="T T T"
Ti 0.000 0.000 0.000
Fe 2.426 2.426 1.706
Se 0.000 2.426 1.706
Se 2.426 0.000 1.706
N 2.426 2.426 0.000
```

***

<2>
The following is a DFT calculation (PBE) of a geometry-optimized TiFeSe2N structure.

Values from the calculation:
spin magnetization	4.39	μB per formula unit
D(E_F)	5.94	states/eV per cell

```
5
Lattice="5.069 0.000 0.000 0.000 5.069 0.000 0.000 0.000 3.723" Properties=species:S:1:pos:R:3 pbc="T T T"
Ti 0.000 0.000 0.000
Fe 2.535 2.535 1.862
Se 0.000 2.535 0.000
Se 2.535 0.000 0.000
N 0.000 0.000 1.862
```

***

Stability ranking, top and bottom: <1> is the most stable and <2> is the least stable.

***

<1>
The following is a DFT calculation (PBE) of a geometry-optimized TlFeSeN2 structure.

Values from the calculation:
spin magnetization	3.35	μB per formula unit
D(E_F)	8.32	states/eV per cell

```
5
Lattice="4.163 0.000 0.000 0.000 4.163 0.000 0.000 0.000 6.113" Properties=species:S:1:pos:R:3 pbc="T T T"
Tl 0.000 0.000 0.000
Fe 2.082 2.082 3.057
Se 0.000 0.000 3.057
N 0.000 2.082 0.000
N 2.082 0.000 0.000
```

***

<2>
The following is a DFT calculation (PBE) of a geometry-optimized TlFeSeN2 structure.

Values from the calculation:
spin magnetization	0.18	μB per formula unit
D(E_F)	3.53	states/eV per cell

```
5
Lattice="3.784 0.000 0.000 0.000 3.784 0.000 0.000 0.000 5.250" Properties=species:S:1:pos:R:3 pbc="T T T"
Tl 0.000 0.000 0.000
Fe 1.892 1.892 2.625
Se 1.892 1.892 0.000
N 0.000 1.892 2.625
N 1.892 0.000 2.625
```

***

Stability ranking, top and bottom: <2> is the most stable and <1> is the least stable.

***

<1>
The following is a DFT calculation (PBE) of a geometry-optimized VFeSe2N structure.

Values from the calculation:
spin magnetization	2.27	μB per formula unit
D(E_F)	5.02	states/eV per cell

```
5
Lattice="4.867 0.000 0.000 0.000 4.867 0.000 0.000 0.000 3.385" Properties=species:S:1:pos:R:3 pbc="T T T"
V 0.000 0.000 0.000
Fe 2.433 2.433 1.692
Se 0.000 2.433 1.692
Se 2.433 0.000 1.692
N 2.433 2.433 0.000
```

***

<2>
The following is a DFT calculation (PBE) of a geometry-optimized VFeSe2N structure.

Values from the calculation:
spin magnetization	3.80	μB per formula unit
D(E_F)	4.89	states/eV per cell

```
5
Lattice="4.969 0.000 0.000 0.000 4.969 0.000 0.000 0.000 3.590" Properties=species:S:1:pos:R:3 pbc="T T T"
V 0.000 0.000 0.000
Fe 2.485 2.485 1.795
Se 0.000 2.485 0.000
Se 2.485 0.000 0.000
N 0.000 0.000 1.795
```

***

Stability ranking, top and bottom: <1> is the most stable and <2> is the least stable.

***

<1>
The following is a DFT calculation (PBE) of a geometry-optimized FeWSe2N structure.

Values from the calculation:
spin magnetization	3.78	μB per formula unit
D(E_F)	5.75	states/eV per cell

```
5
Lattice="5.068 0.000 0.000 0.000 5.068 0.000 0.000 0.000 3.787" Properties=species:S:1:pos:R:3 pbc="T T T"
Fe 0.000 0.000 0.000
W 2.534 2.534 1.894
Se 0.000 2.534 1.894
Se 2.534 0.000 1.894
N 2.534 2.534 0.000
```

***

<2>
The following is a DFT calculation (PBE) of a geometry-optimized FeWSe2N structure.

Values from the calculation:
spin magnetization	2.48	μB per formula unit
D(E_F)	2.52	states/eV per cell

```
5
Lattice="4.839 0.000 0.000 0.000 4.839 0.000 0.000 0.000 3.366" Properties=species:S:1:pos:R:3 pbc="T T T"
Fe 0.000 0.000 0.000
W 2.419 2.419 1.683
Se 0.000 2.419 0.000
Se 2.419 0.000 0.000
N 0.000 0.000 1.683
```

***

Stability ranking, top and bottom: <1> is the most stable and <2> is the least stable.

***

<1>
The following is a DFT calculation (PBE) of a geometry-optimized FeWSeN2 structure.

Values from the calculation:
spin magnetization	2.39	μB per formula unit
D(E_F)	4.21	states/eV per cell

```
5
Lattice="3.682 0.000 0.000 0.000 3.682 0.000 0.000 0.000 4.838" Properties=species:S:1:pos:R:3 pbc="T T T"
Fe 0.000 0.000 0.000
W 1.841 1.841 2.419
Se 0.000 0.000 2.419
N 0.000 1.841 0.000
N 1.841 0.000 0.000
```

***

<2>
The following is a DFT calculation (PBE) of a geometry-optimized FeWSeN2 structure.

Values from the calculation:
spin magnetization	3.63	μB per formula unit
D(E_F)	3.85	states/eV per cell

```
5
Lattice="3.880 0.000 0.000 0.000 3.880 0.000 0.000 0.000 5.297" Properties=species:S:1:pos:R:3 pbc="T T T"
Fe 0.000 0.000 0.000
W 1.940 1.940 2.649
Se 1.940 1.940 0.000
N 0.000 1.940 2.649
N 1.940 0.000 2.649
```

***

Stability ranking, top and bottom: <2> is the most stable and <1> is the least stable.

***

<1>
The following is a DFT calculation (PBE) of a geometry-optimized YFeSeN2 structure.

Values from the calculation:
spin magnetization	1.36	μB per formula unit
D(E_F)	3.18	states/eV per cell

```
5
Lattice="3.842 0.000 0.000 0.000 3.842 0.000 0.000 0.000 4.823" Properties=species:S:1:pos:R:3 pbc="T T T"
Y 0.000 0.000 0.000
Fe 1.921 1.921 2.412
Se 1.921 1.921 0.000
N 0.000 1.921 2.412
N 1.921 0.000 2.412
```

***

<2>
The following is a DFT calculation (PBE) of a geometry-optimized YFeSeN2 structure.

Values from the calculation:
spin magnetization	6.04	μB per formula unit
D(E_F)	4.79	states/eV per cell

```
5
Lattice="4.204 0.000 0.000 0.000 4.204 0.000 0.000 0.000 5.651" Properties=species:S:1:pos:R:3 pbc="T T T"
Y 0.000 0.000 0.000
Fe 2.102 2.102 2.826
Se 0.000 0.000 2.826
N 0.000 2.102 0.000
N 2.102 0.000 0.000
```

***

Stability ranking, top and bottom: <1> is the most stable and <2> is the least stable.